This record from Alexandria describes a relaxed Ac4Pm3Er crystal. The functional is GGA-PBE.

CIF file:
```
data_Ac4Pm3Er
_chemical_formula_sum 'Ac8 Pm6 Er2'
_cell_length_a 5.416
_cell_length_b 10.824
_cell_length_c 10.639
_cell_angle_alpha 90.00
_cell_angle_beta 90.00
_cell_angle_gamma 90.00
_space_group_name_H-M_alt 'P m m n'
_space_group_IT_number 59
loop_
_space_group_symop_operation_xyz
'x,y,z'
'-x,-y,-z'
'-x+1/2,-y+1/2,z'
'x+1/2,y+1/2,-z'
'x+1/2,-y,-z'
'-x+1/2,y,z'
'-x,y+1/2,-z'
'x,-y+1/2,z'
loop_
_atom_site_label
_atom_site_fract_x
_atom_site_fract_y
_atom_site_fract_z
Ac1 0.250 0.001 0.138
Ac2 0.250 0.250 0.863
Ac3 0.250 0.750 0.862
Pm1 0.250 0.000 0.612
Pm2 0.250 0.750 0.389
Er1 0.250 0.250 0.388
```

Results
Density   8.04 g/cm³
Final energy   -4.3617 eV per atom
Crystal system   orthorhombic
Formation enthalpy at 0 K   34 kJ/mol of formula units